1.
LaPrSiAg (PBE-GGA, optimized geometry); crystal system = cubic; electronic total energy = -19.644 eV per cell; symmetry = F-43m
1.0
-5.176 -0.814 -0.738
-1.659 -2.980 -4.045
-2.083 -4.777 0.913
Pr Si Ag La
1 1 1 1
Direct
0.500 0.500 0.500 Pr
0.250 0.250 0.250 Si
0.750 0.750 0.750 Ag
0.000 0.000 0.000 La

2.
Tb5Nd7 (PBE-GGA, optimized geometry); crystal system = monoclinic; ΔH_f (0 K) = 163 meV/atom; distance to the lowest polymorph of the same formula = 0.156 eV/atom; symmetry = C2/m
1.0
5.874 0.000 0.000
-2.937 4.851 -0.396
0.000 -2.411 14.634
Tb Nd
5 7
Direct
0.138 0.277 0.439 Tb
0.862 0.723 0.561 Tb
0.374 0.748 0.200 Tb
0.626 0.252 0.800 Tb
0.000 0.000 0.000 Tb
0.242 0.484 0.671 Nd
0.758 0.516 0.329 Nd
0.037 0.074 0.213 Nd
0.963 0.926 0.787 Nd
0.680 0.360 0.083 Nd
0.500 0.000 0.500 Nd
0.320 0.640 0.917 Nd

3.
SrSi2Br (PBE-GGA, optimized geometry); crystal system = orthorhombic; distance to the lowest polymorph of the same formula = 0.335 eV/atom; symmetry = Imm2
1.0
5.790 -0.017 0.005
1.021 5.699 -0.005
-2.353 -4.102 3.340
Br Si Sr
1 2 1
Direct
0.244 0.744 0.500 Br
0.941 0.941 0.000 Si
0.806 0.306 0.500 Si
0.509 0.509 0.000 Sr